Record 1
Entry from the Alexandria database: an optimized crystal structure of Cs2UCdBr6 (PBE).

Computed properties:
- ΔE_f (raw): -1.35 eV per atom
- Total moment: 2.00 μB/f.u.

```
data_Cs2UCdBr6
_chemical_formula_sum 'Cs4 U2 Cd2 Br12'
_cell_length_a 7.9914
_cell_length_b 12.1315
_cell_length_c 10.6757
_cell_angle_alpha 90.00
_cell_angle_beta 90.00
_cell_angle_gamma 90.00
_space_group_name_H-M_alt 'P m m n'
_space_group_IT_number 59
loop_
_space_group_symop_operation_xyz
'x,y,z'
'-x,-y,-z'
'-x+1/2,-y+1/2,z'
'x+1/2,y+1/2,-z'
'x+1/2,-y,-z'
'-x+1/2,y,z'
'-x,y+1/2,-z'
'x,-y+1/2,z'
loop_
_atom_site_label
_atom_site_fract_x
_atom_site_fract_y
_atom_site_fract_z
_atom_site_occupancy
Cs1 0.2500 0.0266 0.1734 1
U1 0.2500 0.7500 0.8284 1
Cd1 0.2500 0.2500 0.6546 1
Br1 0.0029 0.2500 0.3497 1
Br2 0.0084 0.7500 0.0185 1
Br3 0.2500 0.5186 0.8304 1
```


Record 2
Entry from the Alexandria database: an optimized crystal structure of ZnCu5Ge (PBE).

Computed properties:
- Energy relative to the elements: -0.03 eV/f.u.
- Total moment: 0.00 μB/f.u.
- ΔE to the lowest computed polymorph: 0 meV/atom

```
data_ZnCu5Ge
_chemical_formula_sum 'Zn4 Cu20 Ge4'
_cell_length_a 6.4422
_cell_length_b 7.0529
_cell_length_c 8.6871
_cell_angle_alpha 90.00
_cell_angle_beta 111.51
_cell_angle_gamma 90.00
_space_group_name_H-M_alt 'C 1 2/c 1'
_space_group_IT_number 15
loop_
_space_group_symop_operation_xyz
'x,y,z'
'-x,-y,-z'
'-x,y,-z+1/2'
'x,-y,z+1/2'
'x+1/2,y+1/2,z'
'-x+1/2,-y+1/2,-z'
'-x+1/2,y+1/2,-z+1/2'
'x+1/2,-y+1/2,z+1/2'
loop_
_atom_site_label
_atom_site_fract_x
_atom_site_fract_y
_atom_site_fract_z
_atom_site_occupancy
Zn1 0.0000 0.0017 0.2500 1
Cu1 0.0000 0.3478 0.7500 1
Cu2 0.1071 0.1578 0.0369 1
Cu3 0.2053 0.3210 0.3417 1
Ge1 0.0000 0.5000 0.0000 1
```


> Among the records above, which one has the lowest total moment?

ZnCu5Ge


> total moment of number 2 (ZnCu5Ge)?

0.00 μB/f.u.


> Which of these has the lowest total moment?

ZnCu5Ge